Density functional theory data (PBE-GGA) for crystalline Ba2ScCo at its relaxed geometry.

```
data_Ba2ScCo
_chemical_formula_sum 'Ba2 Sc1 Co1'
_symmetry_space_group_name_H-M 'P 1'
_symmetry_Int_Tables_number 1
_cell_length_a 3.954
_cell_length_b 3.667
_cell_length_c 9.634
_cell_angle_alpha 90.00
_cell_angle_beta 101.67
_cell_angle_gamma 90.00
loop_
_symmetry_equiv_pos_as_xyz
'x,y,z'
loop_
_atom_site_label
_atom_site_type_symbol
_atom_site_fract_x
_atom_site_fract_y
_atom_site_fract_z
Ba1 Ba 0.000 0.000 0.000
Ba2 Ba 0.293 0.500 0.595
Sc1 Sc 0.638 0.500 0.281
Co1 Co 0.155 0.000 0.315
```

Total moment in μB per atom: 0.000
E above lowest polymorph in eV/f.u.: 0.00
ΔH_f (0 K) in kcal/mol of atoms: 4.5
VASP energy in Ry/atom: -0.3033

Density functional theory data (PBE-GGA) for crystalline Sc3SeS3 at its relaxed geometry.

```
data_Sc3SeS3
_chemical_formula_sum 'Sc12 Se4 S12'
_symmetry_space_group_name_H-M 'P 1'
_symmetry_Int_Tables_number 1
_cell_length_a 9.183
_cell_length_b 9.183
_cell_length_c 9.183
_cell_angle_alpha 109.47
_cell_angle_beta 109.47
_cell_angle_gamma 109.47
loop_
_symmetry_equiv_pos_as_xyz
'x,y,z'
loop_
_atom_site_label
_atom_site_type_symbol
_atom_site_fract_x
_atom_site_fract_y
_atom_site_fract_z
Sc1 Sc 0.239 0.750 0.261
Sc2 Sc 0.239 0.989 0.978
Sc3 Sc 0.261 0.239 0.750
Sc4 Sc 0.261 0.522 0.511
Sc5 Sc 0.511 0.261 0.522
Sc6 Sc 0.511 0.750 0.989
Sc7 Sc 0.522 0.511 0.261
Sc8 Sc 0.750 0.261 0.239
Sc9 Sc 0.750 0.989 0.511
Sc10 Sc 0.978 0.239 0.989
Sc11 Sc 0.989 0.511 0.750
Sc12 Sc 0.989 0.978 0.239
Se1 Se 0.000 0.250 0.500
Se2 Se 0.250 0.250 0.250
Se3 Se 0.250 0.500 0.000
Se4 Se 0.500 0.000 0.250
S1 S 0.005 0.010 0.755
S2 S 0.005 0.495 0.250
S3 S 0.010 0.755 0.005
S4 S 0.250 0.005 0.495
S5 S 0.250 0.745 0.755
S6 S 0.490 0.495 0.745
S7 S 0.495 0.250 0.005
S8 S 0.495 0.745 0.490
S9 S 0.745 0.490 0.495
S10 S 0.745 0.755 0.250
S11 S 0.755 0.005 0.010
S12 S 0.755 0.250 0.745
```

Total moment in μB per atom: 0.000
E above lowest polymorph in eV/f.u.: 0.00
Formation energy without anion corrections in meV/atom: -1850
VASP energy in Ry/atom: -0.5020

Density functional theory data (PBE-GGA) for crystalline Te2W2SeS at its relaxed geometry.

```
data_Te2W2SeS
_chemical_formula_sum 'Te4 W4 Se2 S2'
_symmetry_space_group_name_H-M 'P 1'
_symmetry_Int_Tables_number 1
_cell_length_a 3.395
_cell_length_b 3.395
_cell_length_c 33.684
_cell_angle_alpha 90.00
_cell_angle_beta 90.00
_cell_angle_gamma 120.00
loop_
_symmetry_equiv_pos_as_xyz
'x,y,z'
loop_
_atom_site_label
_atom_site_type_symbol
_atom_site_fract_x
_atom_site_fract_y
_atom_site_fract_z
Te1 Te 0.000 0.000 0.000
Te2 Te 0.000 0.000 0.112
Te3 Te 0.333 0.667 0.770
Te4 Te 0.333 0.667 0.882
W1 W 0.000 0.000 0.400
W2 W 0.000 0.000 0.826
W3 W 0.333 0.667 0.056
W4 W 0.333 0.667 0.610
Se1 Se 0.333 0.667 0.351
Se2 Se 0.333 0.667 0.449
S1 S 0.000 0.000 0.565
S2 S 0.000 0.000 0.655
```

Total moment in μB per atom: 0.000
Formation energy without anion corrections in meV/atom: -328
VASP energy in Ry/atom: -0.5117

Density functional theory data (PBE-GGA) for crystalline Dy2LuSb at its relaxed geometry.

```
data_Dy2LuSb
_chemical_formula_sum 'Dy2 Lu1 Sb1'
_symmetry_space_group_name_H-M 'P 1'
_symmetry_Int_Tables_number 1
_cell_length_a 4.123
_cell_length_b 4.123
_cell_length_c 6.601
_cell_angle_alpha 90.00
_cell_angle_beta 90.00
_cell_angle_gamma 90.00
loop_
_symmetry_equiv_pos_as_xyz
'x,y,z'
loop_
_atom_site_label
_atom_site_type_symbol
_atom_site_fract_x
_atom_site_fract_y
_atom_site_fract_z
Dy1 Dy 0.000 0.000 0.238
Dy2 Dy 0.000 0.000 0.762
Lu1 Lu 0.500 0.500 0.500
Sb1 Sb 0.500 0.500 0.000
```

Total moment in μB per atom: 0.000
E above lowest polymorph in eV/f.u.: 0.00
Formation energy without anion corrections in meV/atom: -495
VASP energy in Ry/atom: -0.3643

Density functional theory data (PBE-GGA) for crystalline GdAuS2 at its relaxed geometry.

```
data_GdAuS2
_chemical_formula_sum 'Gd1 Au1 S2'
_symmetry_space_group_name_H-M 'P 1'
_symmetry_Int_Tables_number 1
_cell_length_a 7.735
_cell_length_b 7.735
_cell_length_c 7.735
_cell_angle_alpha 31.54
_cell_angle_beta 31.54
_cell_angle_gamma 31.54
loop_
_symmetry_equiv_pos_as_xyz
'x,y,z'
loop_
_atom_site_label
_atom_site_type_symbol
_atom_site_fract_x
_atom_site_fract_y
_atom_site_fract_z
Gd1 Gd 0.000 0.000 0.000
Au1 Au 0.500 0.500 0.500
S1 S 0.395 0.395 0.395
S2 S 0.605 0.605 0.605
```

Total moment in μB per atom: 1.750
Formation energy without anion corrections in meV/atom: -1295
VASP energy in Ry/atom: -0.5658

Density functional theory data (PBE-GGA) for crystalline MgSb5 at its relaxed geometry.

```
data_MgSb5
_chemical_formula_sum 'Mg1 Sb5'
_symmetry_space_group_name_H-M 'P 1'
_symmetry_Int_Tables_number 1
_cell_length_a 3.182
_cell_length_b 3.182
_cell_length_c 16.225
_cell_angle_alpha 90.00
_cell_angle_beta 90.00
_cell_angle_gamma 90.00
loop_
_symmetry_equiv_pos_as_xyz
'x,y,z'
loop_
_atom_site_label
_atom_site_type_symbol
_atom_site_fract_x
_atom_site_fract_y
_atom_site_fract_z
Mg1 Mg 0.000 0.000 0.000
Sb1 Sb 0.000 0.000 0.338
Sb2 Sb 0.000 0.000 0.662
Sb3 Sb 0.500 0.500 0.137
Sb4 Sb 0.500 0.500 0.500
Sb5 Sb 0.500 0.500 0.863
```

Total moment in μB per atom: 0.000
E above lowest polymorph in eV/f.u.: 0.55
Formation energy without anion corrections in meV/atom: 141
VASP energy in Ry/atom: -0.2617

Density functional theory data (PBE-GGA) for crystalline K2Hg3Bi4Pb at its relaxed geometry.

```
data_K2Hg3Bi4Pb
_chemical_formula_sum 'K2 Hg3 Bi4 Pb1'
_symmetry_space_group_name_H-M 'P 1'
_symmetry_Int_Tables_number 1
_cell_length_a 4.980
_cell_length_b 4.980
_cell_length_c 14.180
_cell_angle_alpha 90.00
_cell_angle_beta 90.00
_cell_angle_gamma 90.00
loop_
_symmetry_equiv_pos_as_xyz
'x,y,z'
loop_
_atom_site_label
_atom_site_type_symbol
_atom_site_fract_x
_atom_site_fract_y
_atom_site_fract_z
K1 K 0.000 0.500 0.242
K2 K 0.500 0.000 0.758
Hg1 Hg 0.000 0.500 0.854
Hg2 Hg 0.500 0.000 0.146
Hg3 Hg 0.500 0.500 0.500
Bi1 Bi 0.000 0.000 0.000
Bi2 Bi 0.000 0.500 0.641
Bi3 Bi 0.500 0.000 0.359
Bi4 Bi 0.500 0.500 0.000
Pb1 Pb 0.000 0.000 0.500
```

Total moment in μB per atom: 0.000
ΔH_f (0 K) in kcal/mol of atoms: -3.4
VASP energy in Ry/atom: -0.1749

Density functional theory data (PBE-GGA) for crystalline Ca12P5N2 at its relaxed geometry.

```
data_Ca12P5N2
_chemical_formula_sum 'Ca12 P5 N2'
_symmetry_space_group_name_H-M 'P 1'
_symmetry_Int_Tables_number 1
_cell_length_a 8.691
_cell_length_b 8.691
_cell_length_c 9.002
_cell_angle_alpha 105.00
_cell_angle_beta 105.00
_cell_angle_gamma 49.74
loop_
_symmetry_equiv_pos_as_xyz
'x,y,z'
loop_
_atom_site_label
_atom_site_type_symbol
_atom_site_fract_x
_atom_site_fract_y
_atom_site_fract_z
Ca1 Ca 0.001 0.001 0.185
Ca2 Ca 0.077 0.596 0.915
Ca3 Ca 0.099 0.600 0.428
Ca4 Ca 0.400 0.901 0.572
Ca5 Ca 0.404 0.923 0.085
Ca6 Ca 0.496 0.496 0.178
Ca7 Ca 0.504 0.504 0.822
Ca8 Ca 0.596 0.077 0.915
Ca9 Ca 0.600 0.099 0.428
Ca10 Ca 0.901 0.400 0.572
Ca11 Ca 0.923 0.404 0.085
Ca12 Ca 0.999 0.999 0.815
P1 P 0.187 0.187 0.839
P2 P 0.192 0.192 0.349
P3 P 0.500 0.500 0.500
P4 P 0.808 0.808 0.651
P5 P 0.813 0.813 0.161
N1 N 0.255 0.745 0.000
N2 N 0.745 0.255 0.000
```

Total moment in μB per atom: 0.147
Formation energy without anion corrections in meV/atom: -951
VASP energy in Ry/atom: -0.3319

Density functional theory data (PBE-GGA) for crystalline Sr2TeHIr at its relaxed geometry.

```
data_Sr2TeHIr
_chemical_formula_sum 'Sr2 Te1 H1 Ir1'
_symmetry_space_group_name_H-M 'P 1'
_symmetry_Int_Tables_number 1
_cell_length_a 5.593
_cell_length_b 5.593
_cell_length_c 3.697
_cell_angle_alpha 90.00
_cell_angle_beta 90.00
_cell_angle_gamma 90.00
loop_
_symmetry_equiv_pos_as_xyz
'x,y,z'
loop_
_atom_site_label
_atom_site_type_symbol
_atom_site_fract_x
_atom_site_fract_y
_atom_site_fract_z
Sr1 Sr 0.000 0.500 0.000
Sr2 Sr 0.500 0.000 0.000
Te1 Te 0.000 0.000 0.500
H1 H 0.500 0.500 0.000
Ir1 Ir 0.500 0.500 0.500
```

Total moment in μB per atom: 0.000
E above lowest polymorph in eV/f.u.: 0.00
VASP energy in Ry/atom: -0.3200

Density functional theory data (PBE-GGA) for crystalline Mg12In2Sn5 at its relaxed geometry.

```
data_Mg12In2Sn5
_chemical_formula_sum 'Mg12 In2 Sn5'
_symmetry_space_group_name_H-M 'P 1'
_symmetry_Int_Tables_number 1
_cell_length_a 8.728
_cell_length_b 8.728
_cell_length_c 9.498
_cell_angle_alpha 96.18
_cell_angle_beta 96.18
_cell_angle_gamma 44.87
loop_
_symmetry_equiv_pos_as_xyz
'x,y,z'
loop_
_atom_site_label
_atom_site_type_symbol
_atom_site_fract_x
_atom_site_fract_y
_atom_site_fract_z
Mg1 Mg 0.025 0.025 0.303
Mg2 Mg 0.061 0.556 0.877
Mg3 Mg 0.101 0.605 0.407
Mg4 Mg 0.395 0.899 0.593
Mg5 Mg 0.438 0.438 0.758
Mg6 Mg 0.444 0.939 0.123
Mg7 Mg 0.556 0.061 0.877
Mg8 Mg 0.562 0.562 0.242
Mg9 Mg 0.605 0.101 0.407
Mg10 Mg 0.899 0.395 0.593
Mg11 Mg 0.939 0.444 0.123
Mg12 Mg 0.975 0.975 0.697
In1 In 0.238 0.762 0.000
In2 In 0.762 0.238 0.000
Sn1 Sn 0.149 0.149 0.863
Sn2 Sn 0.205 0.205 0.371
Sn3 Sn 0.500 0.500 0.500
Sn4 Sn 0.795 0.795 0.629
Sn5 Sn 0.851 0.851 0.137
```

Total moment in μB per atom: 0.000
ΔH_f (0 K) in kcal/mol of atoms: -0.8
VASP energy in Ry/atom: -0.1751

Which value of VASP energy does entry 2 give? -0.5020 Ry/atom